First-principles (PBE-GGA) data for an optimized crystal structure of CuICl2, as listed in the Alexandria database.

ΔE to the lowest computed polymorph	0.046	eV per atom
formation energy from raw total energies	-0.303	eV/atom
density of states at the Fermi level	0.726	states/eV/atom

Cell and atoms, written as POSCAR:
```
CuICl2
1.0
11.396 0.000 0.000
0.000 6.533 0.000
-2.135 0.000 6.635
Cu I Cl
4 4 8
Cartesian
2.153 0.000 0.503
1.410 3.267 6.132
7.851 3.267 0.503
7.108 0.000 6.132
0.000 1.382 0.000
-1.068 1.852 3.318
5.698 4.648 0.000
4.631 5.119 3.318
0.011 4.940 5.555
1.305 1.884 4.235
2.258 5.151 2.400
3.552 1.673 1.080
5.709 1.673 5.555
7.003 5.151 4.235
7.956 1.884 2.400
9.250 4.940 1.080
```

=====

First-principles (PBE-GGA) data for an optimized crystal structure of Sr2ZnCl, as listed in the Alexandria database.

ΔE to the lowest computed polymorph	0.256	eV per atom
formation energy from raw total energies	-0.665	eV/atom
density of states at the Fermi level	0.956	states/eV/atom

Cell and atoms, written as POSCAR:
```
Sr2ZnCl
1.0
7.976 0.000 0.000
0.000 7.976 0.000
0.000 0.000 7.976
Sr Zn Cl
8 4 4
Cartesian
1.994 1.994 1.994
1.994 1.994 5.982
1.994 5.982 1.994
1.994 5.982 5.982
5.982 1.994 1.994
5.982 1.994 5.982
5.982 5.982 1.994
5.982 5.982 5.982
0.000 0.000 0.000
0.000 3.988 3.988
3.988 0.000 3.988
3.988 3.988 0.000
0.000 0.000 3.988
0.000 3.988 0.000
3.988 0.000 0.000
3.988 3.988 3.988
```

=====

First-principles (PBE-GGA) data for an optimized crystal structure of NpNb2N, as listed in the Alexandria database.

ΔE to the lowest computed polymorph	0.000	eV per atom
formation energy from raw total energies	-0.047	eV/atom
density of states at the Fermi level	1.489	states/eV/atom

Cell and atoms, written as POSCAR:
```
NpNb2N
1.0
3.048 0.000 0.000
-1.524 2.640 0.000
0.000 0.000 25.058
Np Nb N
3 6 3
Cartesian
0.000 0.000 0.000
0.000 1.760 16.705
1.524 0.880 8.353
0.000 0.000 2.888
0.000 0.000 22.170
0.000 1.760 13.817
0.000 1.760 19.593
1.524 0.880 5.465
1.524 0.880 11.240
0.000 0.000 12.529
0.000 1.760 4.176
1.524 0.880 20.881
```

=====

First-principles (PBE-GGA) data for an optimized crystal structure of RbGa2SnIr, as listed in the Alexandria database.

formation enthalpy at 0 K	1.300	eV per atom
density of states at the Fermi level	2.658	states/eV/atom

Cell and atoms, written as POSCAR:
```
RbGa2SnIr
1.0
5.372 0.000 0.000
0.000 5.372 0.000
0.000 0.000 6.773
Rb Ga Sn Ir
1 2 1 1
Cartesian
0.000 0.000 0.000
0.000 2.686 3.387
2.686 0.000 3.387
0.000 0.000 3.387
2.686 2.686 0.000
```

=====

First-principles (PBE-GGA) data for an optimized crystal structure of LaMnRu, as listed in the Alexandria database.

formation enthalpy at 0 K	0.942	eV per atom
density of states at the Fermi level	0.927	states/eV/atom

Cell and atoms, written as POSCAR:
```
LaMnRu
1.0
6.410 0.000 0.000
0.000 6.410 0.000
0.000 0.000 6.410
La Mn Ru
4 4 4
Cartesian
0.000 0.000 0.000
0.000 3.205 3.205
3.205 0.000 3.205
3.205 3.205 0.000
1.603 1.603 1.603
1.603 4.808 4.808
4.808 1.603 4.808
4.808 4.808 1.603
1.603 1.603 4.808
1.603 4.808 1.603
4.808 1.603 1.603
4.808 4.808 4.808
```

=====

First-principles (PBE-GGA) data for an optimized crystal structure of TlMoRh2, as listed in the Alexandria database.

ΔE to the lowest computed polymorph	0.229	eV per atom
formation enthalpy at 0 K	0.223	eV per atom
density of states at the Fermi level	0.877	states/eV/atom

Cell and atoms, written as POSCAR:
```
TlMoRh2
1.0
5.889 0.000 0.000
0.000 7.649 0.000
-0.007 0.000 2.912
Tl Mo Rh
2 2 4
Cartesian
0.000 0.000 0.000
2.944 3.824 0.000
0.000 3.824 0.000
2.944 0.000 0.000
1.469 1.912 1.456
1.469 5.737 1.456
4.413 1.912 1.456
4.413 5.737 1.456
```

=====

First-principles (PBE-GGA) data for an optimized crystal structure of Dy5HoTm, as listed in the Alexandria database.

ΔE to the lowest computed polymorph	0.913	eV per atom
formation enthalpy at 0 K	1.108	eV per atom
density of states at the Fermi level	1.096	states/eV/atom

Cell and atoms, written as POSCAR:
```
Dy5HoTm
1.0
5.741 0.000 0.000
0.000 8.587 0.000
0.000 0.000 11.904
Dy Ho Tm
10 2 2
Cartesian
0.000 0.000 0.000
0.000 1.523 5.952
0.000 4.294 3.032
0.000 4.294 8.872
0.000 7.065 5.952
2.871 0.000 2.920
2.871 0.000 8.984
2.871 2.771 0.000
2.871 4.294 5.952
2.871 5.816 0.000
0.000 4.294 5.952
2.871 0.000 0.000
0.000 4.294 0.000
2.871 0.000 5.952
```

=====

First-principles (PBE-GGA) data for an optimized crystal structure of TlCrW2, as listed in the Alexandria database.

ΔE to the lowest computed polymorph	0.110	eV per atom
formation enthalpy at 0 K	0.717	eV per atom
density of states at the Fermi level	0.655	states/eV/atom

Cell and atoms, written as POSCAR:
```
TlCrW2
1.0
3.282 0.000 0.000
0.000 3.282 0.000
0.000 0.000 6.335
Tl Cr W
1 1 2
Cartesian
0.000 0.000 0.000
0.000 0.000 3.168
1.641 1.641 1.926
1.641 1.641 4.409
```